Record 1
Density functional theory data (PBE) for a geometry-optimized CsAlTe2 structure.

```
data_CsAlTe2
_chemical_formula_sum 'Cs4 Al4 Te8'
_cell_length_a 11.267
_cell_length_b 4.418
_cell_length_c 14.594
_cell_angle_alpha 90.00
_cell_angle_beta 106.23
_cell_angle_gamma 90.00
_space_group_name_H-M_alt 'P 1 21/c 1'
_space_group_IT_number 14
loop_
_space_group_symop_operation_xyz
'x,y,z'
'-x,-y,-z'
'-x,y+1/2,-z+1/2'
'x,-y+1/2,z+1/2'
loop_
_atom_site_label
_atom_site_fract_x
_atom_site_fract_y
_atom_site_fract_z
Cs1 0.143 0.000 0.410
Al1 0.366 0.002 0.226
Te1 0.146 0.001 0.128
Te2 0.437 0.502 0.345
```

## Properties
Final energy, eV per cell: -54.918
Energy relative to the elements, uncorrected, eV per atom: -0.71

Record 2
Density functional theory data (PBE) for a geometry-optimized Cs3AlTe3 structure.

```
data_Cs3AlTe3
_chemical_formula_sum 'Cs12 Al4 Te12'
_cell_length_a 10.453
_cell_length_b 9.177
_cell_length_c 14.786
_cell_angle_alpha 90.00
_cell_angle_beta 99.38
_cell_angle_gamma 90.00
_space_group_name_H-M_alt 'P 1 21/c 1'
_space_group_IT_number 14
loop_
_space_group_symop_operation_xyz
'x,y,z'
'-x,-y,-z'
'-x,y+1/2,-z+1/2'
'x,-y+1/2,z+1/2'
loop_
_atom_site_label
_atom_site_fract_x
_atom_site_fract_y
_atom_site_fract_z
Cs1 0.085 0.164 0.128
Cs2 0.306 0.717 0.786
Cs3 0.395 0.230 0.920
Al1 0.166 0.577 0.045
Te1 0.064 0.066 0.389
Te2 0.241 0.654 0.520
Te3 0.356 0.061 0.648
```

## Properties
Relative energy among the computed polymorphs, meV per atom: 3
Final energy, eV per cell: -90.387
Energy relative to the elements, uncorrected, eV per atom: -0.98

Record 3
Density functional theory data (PBE) for a geometry-optimized CsAlTe2 structure.

```
data_CsAlTe2
_chemical_formula_sum 'Cs4 Al4 Te8'
_cell_length_a 5.654
_cell_length_b 23.901
_cell_length_c 5.738
_cell_angle_alpha 90.00
_cell_angle_beta 90.00
_cell_angle_gamma 90.00
_space_group_name_H-M_alt 'C m c m'
_space_group_IT_number 63
_space_group_name_Hall '-C 2c 2'
loop_
_atom_site_label
_atom_site_fract_x
_atom_site_fract_y
_atom_site_fract_z
Cs1 0.000 0.167 0.250
Al1 0.000 0.438 0.250
Te1 0.000 0.332 0.250
Te2 0.000 0.453 0.750
```

## Properties
Final energy, eV per cell: -52.428
Energy relative to the elements, uncorrected, eV per atom: -0.56

> The lowest final energy belongs to which entry?

Cs3AlTe3